(1)
Here is a relaxed structure of YTe2Cl from the Alexandria database. Energies are from GGA-PBE. Values from VASP.

```
&SYSTEM
  ibrav = 0, nat = 4, ntyp = 3
/
ATOMIC_SPECIES
Cl 35.45 Cl.upf
Te 127.60 Te.upf
Y 88.91 Y.upf
ATOMIC_POSITIONS angstrom
Cl -3.366 -12.382 9.732
Te -4.412 -16.230 12.757
Te -2.320 -8.534 6.708
Y -1.122 -4.127 3.244
CELL_PARAMETERS angstrom
-3.246 -6.467 2.494
1.103 -6.269 4.250
-2.345 -3.774 6.232
```

Output
Theoretical density: 4.6 g cm⁻³
Space-group type: No. 166
D(E_F): 3.54 states/eV per cell
Offset from the most stable computed form: 544 meV/atom

***

(2)
Here is a relaxed structure of Y2TeCl from the Alexandria database. Energies are from GGA-PBE. Values from VASP.

```
&SYSTEM
  ibrav = 0, nat = 4, ntyp = 3
/
ATOMIC_SPECIES
Cl 35.45 Cl.upf
Te 127.60 Te.upf
Y 88.91 Y.upf
ATOMIC_POSITIONS angstrom
Cl 0.824 -2.350 -1.543
Te 1.678 -2.761 2.040
Y -0.062 -0.259 -0.015
Y -0.956 -3.960 -0.226
CELL_PARAMETERS angstrom
-0.165 -4.629 3.342
-1.872 -3.809 -3.823
4.539 3.327 0.978
```

Output
Theoretical density: 5.3 g cm⁻³
Space-group type: No. 71
D(E_F): 3.02 states/eV per cell
Offset from the most stable computed form: 185 meV/atom

***

(3)
Here is a relaxed structure of YTe2Cl from the Alexandria database. Energies are from GGA-PBE. Values from VASP.

```
&SYSTEM
  ibrav = 0, nat = 4, ntyp = 3
/
ATOMIC_SPECIES
Cl 35.45 Cl.upf
Te 127.60 Te.upf
Y 88.91 Y.upf
ATOMIC_POSITIONS angstrom
Cl 2.240 7.376 3.644
Te 0.000 0.485 0.249
Te 0.000 4.433 2.180
Y 2.240 2.459 1.215
CELL_PARAMETERS angstrom
4.480 0.000 0.000
0.000 6.034 -0.084
0.000 3.801 4.942
```

Output
Theoretical density: 4.7 g cm⁻³
Space-group type: No. 10
D(E_F): 0.94 states/eV per cell
Offset from the most stable computed form: 0 meV/atom

***

(4)
Here is a relaxed structure of YTe2Cl from the Alexandria database. Energies are from GGA-PBE. Values from VASP.

```
&SYSTEM
  ibrav = 0, nat = 8, ntyp = 3
/
ATOMIC_SPECIES
Y 88.91 Y.upf
Te 127.60 Te.upf
Cl 35.45 Cl.upf
ATOMIC_POSITIONS angstrom
Y 0.000 0.000 0.000
Y -1.112 7.855 0.395
Te -1.592 5.238 -1.017
Te -3.825 6.551 0.298
Te 0.786 9.098 2.376
Te 0.184 10.532 -0.078
Cl -2.973 2.249 0.448
Cl -1.422 6.734 3.965
CELL_PARAMETERS angstrom
-2.663 3.370 -3.123
-3.283 1.129 4.018
3.413 10.090 3.464
```

Output
Theoretical density: 4.2 g cm⁻³
Space-group type: No. 122
D(E_F): 0.00 states/eV per cell
Offset from the most stable computed form: 496 meV/atom

***

(5)
Here is a relaxed structure of YTe2Cl from the Alexandria database. Energies are from GGA-PBE. Values from VASP.

```
&SYSTEM
  ibrav = 0, nat = 4, ntyp = 3
/
ATOMIC_SPECIES
Cl 35.45 Cl.upf
Te 127.60 Te.upf
Y 88.91 Y.upf
ATOMIC_POSITIONS angstrom
Cl 2.541 -1.555 -2.021
Te 4.015 -1.169 -9.107
Te -0.827 -2.550 -2.666
Y 1.916 -0.558 -4.346
CELL_PARAMETERS angstrom
-1.082 -1.661 -5.829
5.135 0.481 -3.363
-2.485 -2.883 4.839
```

Output
Theoretical density: 5.5 g cm⁻³
Space-group type: No. 44
D(E_F): 2.45 states/eV per cell
Offset from the most stable computed form: 308 meV/atom

***

(6)
Here is a relaxed structure of Y2TeCl from the Alexandria database. Energies are from GGA-PBE. Values from VASP.

```
&SYSTEM
  ibrav = 0, nat = 4, ntyp = 3
/
ATOMIC_SPECIES
Cl 35.45 Cl.upf
Te 127.60 Te.upf
Y 88.91 Y.upf
ATOMIC_POSITIONS angstrom
Cl 0.000 3.137 2.314
Te 2.477 4.355 4.495
Y 0.000 2.310 5.069
Y 2.477 2.191 1.987
CELL_PARAMETERS angstrom
4.954 0.000 0.000
0.000 3.918 0.004
0.000 2.446 5.544
```

Output
Theoretical density: 5.3 g cm⁻³
Space-group type: No. 6
D(E_F): 3.49 states/eV per cell
Offset from the most stable computed form: 100 meV/atom

***

no.,total magnetic moment (μB per formula unit)
1,0.000
2,0.000
3,0.000
4,0.000
5,0.000
6,0.000